# Mg2Fe5Si8O24 (PBE with a Hubbard U, relaxed)
data_Mg2Fe5Si8O24
_chemical_formula_sum 'Mg4 Fe10 Si16 O48'
_cell_length_a 9.583
_cell_length_b 18.040
_cell_length_c 5.359
_cell_angle_alpha 90.00
_cell_angle_beta 99.21
_cell_angle_gamma 90.00
_space_group_name_H-M_alt 'C 1 2 1'
_space_group_IT_number 5
loop_
_space_group_symop_operation_xyz
'x,y,z'
'-x,y,-z'
'x+1/2,y+1/2,z'
'-x+1/2,y+1/2,-z'
loop_
_atom_site_label
_atom_site_type_symbol
_atom_site_fract_x
_atom_site_fract_y
_atom_site_fract_z
Mg1 Mg 0.000 0.000 0.000
Mg2 Mg 0.000 0.177 0.000
Fe1 Fe 0.000 0.098 0.500
Fe2 Fe 0.000 0.256 0.500
Fe3 Fe 0.000 0.355 0.000
Fe4 Fe 0.000 0.434 0.500
Fe5 Fe 0.000 0.920 0.500
Si1 Si 0.207 0.846 0.251
Si2 Si 0.208 0.510 0.248
Si3 Si 0.214 0.594 0.750
Si4 Si 0.214 0.761 0.751
O1 O 0.101 0.177 0.681
O2 O 0.112 0.091 0.206
O3 O 0.113 0.262 0.208
O4 O 0.117 0.009 0.700
O5 O 0.118 0.346 0.689
O6 O 0.124 0.925 0.222
O7 O 0.125 0.431 0.223
O8 O 0.148 0.811 0.503
O9 O 0.150 0.544 0.501
O10 O 0.153 0.678 0.706
O11 O 0.157 0.559 0.995
O12 O 0.159 0.796 0.998
# - Total moment: 0.00 μB per formula unit
# - DFT total energy: -7.197 eV/atom